AcLa5Pm3 (PBE-GGA, relaxed); size of the total moment = 0.000 Bohr magnetons per cell; calculated volume = 36.37 Å³/atom; calculated formation energy = 0.1572 eV/atom
1.0
-0.567 -2.475 8.733
-2.524 -3.952 -6.020
10.419 -5.359 -0.842
Pm La Ac
6 10 2
direct
0.000 0.000 0.000
0.779 0.594 0.250
0.815 0.594 0.750
0.221 0.406 0.750
0.000 0.000 0.500
0.185 0.406 0.250
0.815 0.306 0.457
0.765 0.000 0.250
0.509 0.694 0.043
0.510 0.695 0.458
0.490 0.305 0.542
0.235 0.000 0.750
0.815 0.305 0.042
0.185 0.694 0.543
0.491 0.306 0.957
0.185 0.695 0.958
0.325 0.000 0.250
0.675 0.000 0.750

Ac7La2Pm3 (PBE-GGA, relaxed); size of the total moment = 0.000 Bohr magnetons per cell; calculated volume = 41.22 Å³/atom; calculated formation energy = 0.0903 eV/atom
1.0
3.802 0.000 0.000
0.000 6.940 0.973
0.000 2.466 19.090
Ac Pm La
7 3 2
direct
0.500 0.240 0.506
0.500 0.056 0.174
0.500 0.760 0.494
0.000 0.000 0.000
0.000 0.552 0.167
0.000 0.448 0.833
0.500 0.944 0.826
0.000 0.881 0.658
0.500 0.500 0.000
0.000 0.119 0.342
0.500 0.607 0.331
0.500 0.393 0.669

AcLa3Pm4 (PBE-GGA, relaxed); size of the total moment = 0.000 Bohr magnetons per cell; calculated volume = 36.59 Å³/atom; calculated formation energy = 0.0245 eV/atom
1.0
-6.195 -3.868 -1.385
2.477 -5.515 4.323
-4.672 4.478 8.390
Pm La Ac
8 6 2
direct
0.753 0.061 0.249
0.753 0.061 0.751
0.000 0.311 0.500
0.247 0.561 0.749
0.500 0.811 0.500
0.000 0.811 0.000
0.247 0.561 0.251
0.500 0.311 0.000
0.246 0.060 0.750
0.754 0.560 0.750
0.999 0.811 0.500
0.246 0.060 0.250
0.754 0.560 0.250
0.001 0.311 0.000
0.499 0.810 0.000
0.501 0.310 0.500

AcLa7Pm4 (PBE-GGA, relaxed); size of the total moment = 0.000 Bohr magnetons per cell; calculated volume = 37.34 Å³/atom; calculated formation energy = 0.2013 eV/atom
1.0
-3.978 4.585 -1.722
-6.307 1.669 7.454
1.233 7.247 4.888
Pm La Ac
4 7 1
direct
0.563 0.297 0.577
0.437 0.703 0.423
0.332 0.350 0.985
0.668 0.650 0.015
0.090 0.538 0.282
0.769 0.265 0.198
0.910 0.462 0.718
0.212 0.105 0.470
0.788 0.895 0.530
0.500 0.000 0.000
0.231 0.735 0.802
0.000 0.000 0.000

| no. | total energy (eV for the cell shown) |
| --- | --- |
| 1 | -83.165 |
| 2 | -51.782 |
| 3 | -75.395 |
| 4 | -55.187 |